A relaxed SbAs2P crystal, computed with GGA-PBE.

Unit cell a=6.3251 b=6.3251 c=6.3251 alpha=144.40 beta=144.40 gamma=51.23
Last column: nearest neighbours and their distance in Å.
Fractional coordinates of all 4 atoms:
Sb 0.0000 0.0000 0.0000  4 P 2.73
As 0.2500 0.7500 0.5000  4 As 2.73
As 0.7500 0.2500 0.5000  4 As 2.73
P 0.5000 0.5000 0.0000  4 Sb 2.73

Values from the calculation:
Energy relative to the elements, uncorrected: 2.061 eV/f.u.
Energy above the lowest structure with this stoichiometry: 470 meV/atom
Total magnetization: 0.0 Bohr magnetons per cell
SG: I4/mmm
V: 21.3 Å³/atom